1.
Compound: Ac3Ga2Pd7
Source: the Alexandria database
Functional: PBE-GGA
Structure: optimized geometry

```
Ac3Ga2Pd7
1.0
-2.352 1.806 3.070
1.102 -3.220 2.739
10.500 8.925 2.794
Pd Ga Ac
7 2 3
Cartesian
2.333 -0.429 2.040
9.269 6.134 3.493
8.638 5.420 6.396
0.000 0.000 0.000
5.007 4.996 3.864
4.243 2.515 4.739
0.612 2.091 2.206
2.229 1.189 3.976
7.022 6.323 4.627
-0.625 -0.707 2.904
7.607 3.058 4.029
3.995 2.646 1.504
```

Output
Energy of formation ... -9.3 eV per formula unit
Calculated volume ... 259 Å³/f.u.
Density of states at the Fermi level ... 7.27 states/eV/f.u.
Energy above the most stable polymorph in this dataset ... 0.000 eV/atom
Magnetic moment ... 0.0 μB/f.u.



2.
Compound: ScMo2Ru
Source: the Alexandria database
Functional: PBE-GGA
Structure: optimized geometry

```
ScMo2Ru
1.0
-4.071 -1.997 0.144
1.277 -2.337 3.673
-1.062 2.296 1.830
Mo Ru Sc
2 1 1
Cartesian
0.000 0.000 0.000
-1.397 -2.167 1.908
-2.566 0.149 0.987
0.107 -0.021 2.751
```

Output
Energy of formation ... 0.7 eV per formula unit
Calculated volume ... 64 Å³/f.u.
Density of states at the Fermi level ... 4.74 states/eV/f.u.
Energy above the most stable polymorph in this dataset ... 0.288 eV/atom
Magnetic moment ... 0.0 μB/f.u.



3.
Compound: KNaSi2
Source: the Alexandria database
Functional: PBE-GGA
Structure: optimized geometry

```
KNaSi2
1.0
4.831 0.000 0.000
0.000 4.831 0.000
2.416 2.416 10.344
Si K Na
4 2 2
Cartesian
2.525 1.208 2.586
3.623 4.722 7.758
2.306 3.623 2.586
6.039 4.940 7.758
4.831 2.416 5.172
0.000 0.000 0.000
2.416 4.831 5.172
2.416 2.416 0.000
```

Output
Formation energy without anion corrections ... 36 kJ per mole of atoms
Calculated volume ... 121 Å³/f.u.
Density of states at the Fermi level ... 1.25 states/eV/f.u.
Energy above the most stable polymorph in this dataset ... 0.313 eV/atom
Magnetic moment ... 0.0 μB/f.u.



4.
Compound: Y2TaO
Source: the Alexandria database
Functional: PBE-GGA
Structure: optimized geometry

```
Y2TaO
1.0
-2.924 1.380 0.346
-2.295 -0.465 -2.257
-4.587 -6.818 3.726
O Y Ta
1 2 1
Cartesian
-4.903 -2.951 0.907
-3.633 -4.431 2.264
-6.172 -1.471 -0.449
0.000 0.000 0.000
```

Output
Formation energy without anion corrections ... -76 kJ per mole of atoms
Calculated volume ... 81 Å³/f.u.
Density of states at the Fermi level ... 1.68 states/eV/f.u.
Energy above the most stable polymorph in this dataset ... 0.000 eV/atom
Magnetic moment ... 0.8 μB/f.u.



5.
Compound: Sm11Dy4Ho9
Source: the Alexandria database
Functional: PBE-GGA
Structure: optimized geometry

```
Sm11Dy4Ho9
1.0
3.647 0.000 0.000
0.000 14.056 -5.995
0.000 0.012 15.281
Sm Ho Dy
11 9 4
Cartesian
0.000 0.618 5.944
0.000 11.806 -2.586
0.000 9.958 6.573
0.000 5.181 7.450
0.000 13.450 3.342
0.000 8.359 11.054
0.000 5.709 -1.768
0.000 8.887 1.836
0.000 4.110 2.713
0.000 2.262 11.873
0.000 0.000 0.000
1.823 2.327 8.656
1.823 3.005 -0.242
1.823 11.063 9.529
1.823 13.110 6.428
1.823 8.875 -1.262
1.823 5.193 10.548
1.823 11.740 0.630
1.823 7.034 4.643
1.823 0.958 2.858
1.823 7.810 8.256
1.823 10.661 3.937
1.823 3.406 5.350
1.823 6.258 1.030
```

Output
Energy of formation ... 1.3 eV per formula unit
Calculated volume ... 784 Å³/f.u.
Density of states at the Fermi level ... 30.87 states/eV/f.u.
Magnetic moment ... 0.0 μB/f.u.



6.
Compound: Ca7Sn2Hg2
Source: the Alexandria database
Functional: PBE-GGA
Structure: optimized geometry

```
Ca7Sn2Hg2
1.0
-1.323 -1.436 -6.797
0.931 -7.843 1.476
-6.054 -0.032 3.654
Ca Sn Hg
7 2 2
Cartesian
-2.356 -5.652 2.885
-6.046 -6.386 1.313
-2.986 -6.641 -0.462
-0.400 -2.925 -2.980
-3.460 -2.669 -1.205
-4.089 -3.659 -4.552
0.000 0.000 0.000
-5.558 -5.120 -1.828
-0.887 -4.191 0.162
-4.697 -0.435 0.656
-1.749 -8.876 -2.323
```

Output
Energy of formation ... -3.6 eV per formula unit
Calculated volume ... 378 Å³/f.u.
Density of states at the Fermi level ... 12.04 states/eV/f.u.
Magnetic moment ... 0.0 μB/f.u.



7.
Compound: NdTm2Th
Source: the Alexandria database
Functional: PBE-GGA
Structure: optimized geometry

```
NdTm2Th
1.0
-0.554 1.358 -3.266
-0.523 -2.190 -2.784
-11.662 -0.108 -0.028
Tm Nd Th
2 1 1
Cartesian
-3.102 -0.236 -1.534
-8.925 -0.149 -0.510
-6.352 -0.471 -3.042
-0.728 -0.555 -4.032
```

Output
Energy of formation ... 0.1 eV per formula unit
Calculated volume ... 127 Å³/f.u.
Density of states at the Fermi level ... 6.23 states/eV/f.u.
Energy above the most stable polymorph in this dataset ... 0.005 eV/atom
Magnetic moment ... 0.0 μB/f.u.



8.
Compound: NaHfF2
Source: the Alexandria database
Functional: PBE-GGA
Structure: optimized geometry

```
NaHfF2
1.0
5.409 0.000 0.000
0.000 5.409 0.000
2.705 2.705 4.755
Hf F Na
2 4 2
Cartesian
5.409 2.705 2.378
0.000 0.000 0.000
4.057 4.054 3.566
1.349 4.057 1.189
6.761 6.764 3.566
4.060 1.352 1.189
2.705 2.705 0.000
2.705 5.409 2.378
```

Output
Formation energy without anion corrections ... -162 kJ per mole of atoms
Calculated volume ... 70 Å³/f.u.
Density of states at the Fermi level ... 1.63 states/eV/f.u.
Energy above the most stable polymorph in this dataset ... 0.662 eV/atom
Magnetic moment ... 2.1 μB/f.u.



9.
Compound: NiH3N
Source: the Alexandria database
Functional: PBE-GGA
Structure: optimized geometry

```
NiH3N
1.0
-0.122 -0.718 2.910
2.997 -0.077 0.107
0.049 2.912 0.721
H N Ni
3 1 1
Cartesian
-0.061 -0.359 1.455
0.025 1.456 0.360
1.499 -0.039 0.053
0.000 0.000 0.000
1.462 1.058 1.869
```

Output
Calculated volume ... 27 Å³/f.u.
Density of states at the Fermi level ... 2.00 states/eV/f.u.
Energy above the most stable polymorph in this dataset ... 0.000 eV/atom
Magnetic moment ... 0.1 μB/f.u.



10.
Compound: La2Hf2Ru
Source: the Alexandria database
Functional: PBE-GGA
Structure: optimized geometry

```
La2Hf2Ru
1.0
7.027 0.000 0.000
0.000 7.027 0.000
0.000 0.000 5.304
Hf La Ru
4 4 2
Cartesian
5.913 2.400 2.652
1.113 4.627 2.652
2.400 1.113 2.652
4.627 5.913 2.652
2.412 5.925 0.000
4.614 1.101 0.000
5.925 4.614 0.000
1.101 2.412 0.000
3.513 3.513 0.000
0.000 0.000 0.000
```

Output
Energy of formation ... 2.5 eV per formula unit
Calculated volume ... 131 Å³/f.u.
Density of states at the Fermi level ... 4.39 states/eV/f.u.
Energy above the most stable polymorph in this dataset ... 0.526 eV/atom
Magnetic moment ... 0.0 μB/f.u.



11.
Compound: TbNdEr2
Source: the Alexandria database
Functional: PBE-GGA
Structure: optimized geometry

```
TbNdEr2
1.0
3.577 0.000 0.000
1.789 3.098 0.000
0.000 0.000 11.486
Er Nd Tb
2 1 1
Cartesian
3.577 2.065 2.903
1.789 1.032 8.583
0.000 0.000 0.000
0.000 0.000 5.743
```

Output
Energy of formation ... 0.0 eV per formula unit
Calculated volume ... 127 Å³/f.u.
Density of states at the Fermi level ... 4.88 states/eV/f.u.
Energy above the most stable polymorph in this dataset ... 0.000 eV/atom
Magnetic moment ... 0.0 μB/f.u.



12.
Compound: La2Hg2F
Source: the Alexandria database
Functional: PBE-GGA
Structure: optimized geometry

```
La2Hg2F
1.0
-0.195 1.878 -6.938
-7.160 -0.659 0.022
-0.464 5.095 1.392
La F Hg
4 2 4
Cartesian
-2.380 0.107 -1.187
-1.364 1.149 -4.660
-4.974 1.111 -5.728
-5.990 0.070 -2.256
-3.677 0.609 -3.458
0.000 0.000 0.000
-1.341 3.118 -1.762
-4.880 2.395 -0.297
-2.938 3.919 -5.226
-6.477 3.196 -3.761
```

Output
Formation energy without anion corrections ... -119 kJ per mole of atoms
Calculated volume ... 137 Å³/f.u.
Density of states at the Fermi level ... 6.88 states/eV/f.u.
Energy above the most stable polymorph in this dataset ... 0.000 eV/atom
Magnetic moment ... 0.0 μB/f.u.